1.
DFT (PBE-GGA) results for a relaxed InNiBr2 crystal.

Cell and atoms, written as extended XYZ:
```
4
Lattice="3.456 0.000 0.000 0.000 3.456 0.000 0.000 0.000 7.950" Properties=species:S:1:pos:R:3 pbc="T T T"
In 0.000 0.000 0.000
Ni 0.000 0.000 3.975
Br 1.728 1.728 2.371
Br 1.728 1.728 5.579
```

Results
**E above lowest polymorph**: 399.3 meV/atom
**Space-group type**: P4/mmm, No. 123

=====

2.
DFT (PBE-GGA) results for a relaxed In2NiBr crystal.

Cell and atoms, written as extended XYZ:
```
8
Lattice="3.839 0.000 0.000 0.000 6.125 0.000 0.000 0.000 8.442" Properties=species:S:1:pos:R:3 pbc="T T T"
In 0.000 0.000 1.731
In 0.000 0.000 6.711
In 1.920 3.063 2.490
In 1.920 3.063 5.952
Ni 0.000 3.063 4.221
Ni 1.920 0.000 0.000
Br 0.000 3.063 0.000
Br 1.920 0.000 4.221
```

Results
**E above lowest polymorph**: 297.6 meV/atom
**Space-group type**: Immm, No. 71

=====

3.
DFT (PBE-GGA) results for a relaxed InNiBr2 crystal.

Cell and atoms, written as extended XYZ:
```
4
Lattice="3.810 0.000 0.000 0.000 3.810 0.000 0.000 0.000 7.884" Properties=species:S:1:pos:R:3 pbc="T T T"
In 0.000 0.000 0.000
Ni 1.905 1.905 0.011
Br 0.000 0.000 2.611
Br 1.905 1.905 5.679
```

Results
**E above lowest polymorph**: 271.9 meV/atom
**Space-group type**: P4mm, No. 99